Record 1
GGA-PBEsol LiYHg, relaxed; formation energy from the elements = -0.33 eV per atom; offset from the most stable computed form = 32 meV/atom; SG = I4mm; Fermi-level density of states = 1.73 states/eV per cell; uncorrected energy = -3.4532 eV/atom
1.0
-3.205 0.217 1.915
-1.876 -1.200 -3.004
3.094 -3.957 1.975
Y Hg Li
1 1 1
direct
0.662 0.662 0.325 Y
0.989 0.989 0.979 Hg
0.348 0.348 0.697 Li

=====

Record 2
GGA-PBEsol LiYHg, relaxed; formation energy from the elements = -0.37 eV per atom; offset from the most stable computed form = 0 meV/atom; SG = P-6m2; Fermi-level density of states = 2.37 states/eV per cell; uncorrected energy = -3.4848 eV/atom
1.0
-2.186 1.836 1.855
-3.287 -3.321 -0.586
2.936 -0.217 3.675
Hg Li Y
1 1 1
direct
0.000 0.000 0.000 Hg
0.000 0.333 0.667 Li
0.500 0.667 0.333 Y

=====

Record 3
GGA-PBEsol Li2YHg, relaxed; formation energy from the elements = -0.25 eV per atom; offset from the most stable computed form = 6 meV/atom; SG = F-43m; Fermi-level density of states = 5.91 states/eV per cell; uncorrected energy = -3.0847 eV/atom
1.0
4.900 0.000 0.000
2.450 4.244 0.000
2.450 1.415 4.001
Li Hg Y
2 1 1
direct
0.000 0.000 0.000 Li
0.250 0.250 0.250 Li
0.500 0.500 0.500 Hg
0.750 0.750 0.750 Y

=====

Record 4
GGA-PBEsol Li2YHg, relaxed; formation energy from the elements = -0.15 eV per atom; offset from the most stable computed form = 107 meV/atom; SG = P4/mmm; Fermi-level density of states = 3.56 states/eV per cell; uncorrected energy = -2.9840 eV/atom
1.0
-1.970 -0.726 2.861
-1.527 -2.693 -1.735
4.689 -4.073 2.195
Y Hg Li
1 1 2
direct
0.500 0.500 0.000 Y
0.500 0.500 0.500 Hg
0.000 0.000 0.696 Li
0.000 0.000 0.304 Li

=====

Record 5
GGA-PBEsol Li3ZnHg, relaxed; formation energy from the elements = 0.13 eV per atom; SG = Pm-3m; Fermi-level density of states = 2.01 states/eV per cell; uncorrected energy = -1.4761 eV/atom
1.0
4.680 0.000 0.000
0.000 4.680 0.000
0.000 0.000 4.680
Li Hg Zn
3 1 1
direct
0.000 0.500 0.000 Li
0.000 0.000 0.500 Li
0.500 0.000 0.000 Li
0.500 0.500 0.500 Hg
0.000 0.000 0.000 Zn

=====

Record 6
GGA-PBEsol LiZn2Hg, relaxed; formation energy from the elements = -0.16 eV per atom; SG = I4/mmm; Fermi-level density of states = 0.93 states/eV per cell; uncorrected energy = -1.5853 eV/atom
1.0
4.204 0.000 0.000
0.000 4.203 0.000
-2.102 -2.102 3.553
Hg Zn Li
1 2 1
direct
0.500 0.000 0.000 Hg
0.250 0.250 0.500 Zn
0.750 0.750 0.500 Zn
0.000 0.500 0.000 Li

=====

What is the uncorrected energy in the sixth record? -1.5853 eV/atom

=====

Which formula does entry 5 have? Li3ZnHg

=====

What is the formula in the fifth record? Li3ZnHg

=====

uncorrected energy of number 4 (Li2YHg)? -2.9840 eV/atom